{"formula": "AlNiRu2", "functional": "PBE", "state": "optimized geometry", "formation_energy_mev_per_atom": -139.8, "total_energy_ev_per_atom": -7.1587, "lattice_angstrom": [[4.3207, -1.3664, 0.0000], [4.3207, 1.3664, 0.0000], [-0.9719, 0.0000, 4.5170]], "species": ["Al", "Ni", "Ru", "Ru"], "fractional_positions": [[0.0000, 0.0000, 0.0000], [0.5000, 0.5000, 0.5000], [0.2513, 0.2513, 0.7455], [0.7487, 0.7487, 0.2545]]}

=====

{"formula": "AlNi3Ru", "functional": "PBE", "state": "optimized geometry", "formation_energy_mev_per_atom": 1005.3, "total_energy_ev_per_atom": -5.0671, "lattice_angstrom": [[4.1899, 0.0000, 0.0000], [0.0000, 4.1899, 0.0000], [0.0000, 0.0000, 4.1899]], "species": ["Al", "Ni", "Ni", "Ni", "Ru"], "fractional_positions": [[0.0000, 0.0000, 0.0000], [0.0000, 0.0000, 0.5000], [0.0000, 0.5000, 0.0000], [0.5000, 0.0000, 0.0000], [0.5000, 0.5000, 0.5000]]}

=====

{"formula": "AlNi3Ru", "functional": "PBE", "state": "optimized geometry", "formation_energy_mev_per_atom": 1201.6, "total_energy_ev_per_atom": -4.8709, "lattice_angstrom": [[4.4580, 0.0000, 0.0000], [0.0000, 4.4580, 0.0000], [0.0000, 0.0000, 4.4580]], "species": ["Al", "Ni", "Ni", "Ni", "Ru"], "fractional_positions": [[0.0000, 0.0000, 0.0000], [0.0000, 0.5000, 0.5000], [0.5000, 0.0000, 0.5000], [0.5000, 0.5000, 0.0000], [0.5000, 0.5000, 0.5000]]}

=====

{"formula": "Al2NiRu", "functional": "PBE", "state": "optimized geometry", "formation_energy_mev_per_atom": -89.9, "total_energy_ev_per_atom": -5.7255, "lattice_angstrom": [[-3.2399, 3.2399, 2.7245], [3.2399, -3.2399, 2.7245], [3.2399, 3.2399, -2.7245]], "species": ["Al", "Al", "Al", "Al", "Ni", "Ni", "Ru", "Ru"], "fractional_positions": [[0.1026, 0.1250, 0.4776], [0.3750, 0.8974, 0.0224], [0.6474, 0.6250, 0.5224], [0.8750, 0.3526, 0.9776], [0.0000, 0.0000, 0.0000], [0.7500, 0.2500, 0.5000], [0.2500, 0.7500, 0.5000], [0.5000, 0.5000, 0.0000]]}

=====

{"formula": "AlNiRu2", "functional": "PBE", "state": "optimized geometry", "formation_energy_mev_per_atom": -100.3, "total_energy_ev_per_atom": -7.1192, "lattice_angstrom": [[0.0000, 2.9888, 2.9888], [2.9888, 0.0000, 2.9888], [2.9888, 2.9888, 0.0000]], "species": ["Al", "Ni", "Ru", "Ru"], "fractional_positions": [[0.0000, 0.0000, 0.0000], [0.2500, 0.2500, 0.2500], [0.5000, 0.5000, 0.5000], [0.7500, 0.7500, 0.7500]]}

=====

{"formula": "AlNiRu2", "functional": "PBE", "state": "optimized geometry", "formation_energy_mev_per_atom": -250.2, "total_energy_ev_per_atom": -7.2690, "lattice_angstrom": [[-1.8897, 1.8897, 3.6874], [1.8897, -1.8897, 3.6874], [1.8897, 1.8897, -3.6874]], "species": ["Al", "Ni", "Ru", "Ru"], "fractional_positions": [[0.0000, 0.0000, 0.0000], [0.2500, 0.7500, 0.5000], [0.5000, 0.5000, 0.0000], [0.7500, 0.2500, 0.5000]]}

=====

{"formula": "Al2Ni2Ru", "functional": "PBE", "state": "optimized geometry", "formation_energy_mev_per_atom": -364.7, "total_energy_ev_per_atom": -6.0295, "lattice_angstrom": [[6.8624, 0.0000, 0.0000], [0.0000, 6.8624, 0.0000], [0.0000, 0.0000, 2.6934]], "species": ["Al", "Al", "Al", "Al", "Ni", "Ni", "Ni", "Ni", "Ru", "Ru"], "fractional_positions": [[0.1470, 0.3530, 0.0000], [0.3530, 0.8530, 0.0000], [0.6470, 0.1470, 0.0000], [0.8530, 0.6470, 0.0000], [0.1497, 0.6497, 0.5000], [0.3503, 0.1497, 0.5000], [0.6497, 0.8503, 0.5000], [0.8503, 0.3503, 0.5000], [0.0000, 0.0000, 0.0000], [0.5000, 0.5000, 0.0000]]}

=====

{"formula": "AlNiRu2", "functional": "PBE", "state": "optimized geometry", "formation_energy_mev_per_atom": -90.4, "total_energy_ev_per_atom": -7.1093, "lattice_angstrom": [[2.8819, 0.0000, 0.0000], [0.0000, 4.2534, 0.0000], [0.0000, 0.0000, 4.3661]], "species": ["Al", "Ni", "Ru", "Ru"], "fractional_positions": [[0.0000, 0.0000, 0.0000], [0.5000, 0.0000, 0.5000], [0.0000, 0.5000, 0.5000], [0.5000, 0.5000, 0.0000]]}

=====

{"formula": "AlNiRu2", "functional": "PBE", "state": "optimized geometry", "formation_energy_mev_per_atom": -63.2, "total_energy_ev_per_atom": -7.0820, "lattice_angstrom": [[-1.4204, 2.2118, 4.2754], [1.4204, -2.2118, 4.2754], [1.4204, 2.2118, -4.2754]], "species": ["Al", "Ni", "Ru", "Ru"], "fractional_positions": [[0.0000, 0.0000, 0.0000], [0.5000, 0.5000, 0.0000], [0.2464, 0.7464, 0.5000], [0.7536, 0.2536, 0.5000]]}

=====

{"formula": "AlNi2Ru", "functional": "PBE", "state": "optimized geometry", "formation_energy_mev_per_atom": -104.6, "total_energy_ev_per_atom": -6.2499, "lattice_angstrom": [[1.3316, 0.7688, 8.1371], [-1.3316, 0.7688, 8.1371], [0.0000, -1.5376, 8.1371]], "species": ["Al", "Ni", "Ni", "Ru"], "fractional_positions": [[0.0000, 0.0000, 0.0000], [0.2531, 0.2531, 0.2531], [0.7469, 0.7469, 0.7469], [0.5000, 0.5000, 0.5000]]}

=====

{"formula": "Al3NiRu2", "functional": "PBE", "state": "optimized geometry", "formation_energy_mev_per_atom": -736.8, "total_energy_ev_per_atom": -6.6636, "lattice_angstrom": [[2.0693, -6.2309, 0.0000], [2.0693, 6.2309, 0.0000], [0.0000, 0.0000, 3.0535]], "species": ["Al", "Al", "Al", "Ni", "Ru", "Ru"], "fractional_positions": [[0.0000, 0.0000, 0.0000], [0.3314, 0.6686, 0.0000], [0.6686, 0.3314, 0.0000], [0.5000, 0.5000, 0.5000], [0.1605, 0.8395, 0.5000], [0.8395, 0.1605, 0.5000]]}

=====

{"formula": "AlNiRu2", "functional": "PBE", "state": "optimized geometry", "formation_energy_mev_per_atom": -224.5, "total_energy_ev_per_atom": -7.2434, "lattice_angstrom": [[2.7468, 0.0000, 0.0000], [0.0000, 3.6663, 0.0000], [0.0000, 0.0000, 5.2836]], "species": ["Al", "Ni", "Ru", "Ru"], "fractional_positions": [[0.0000, 0.0000, 0.0000], [0.5000, 0.5000, 0.2197], [0.0000, 0.0000, 0.4904], [0.5000, 0.5000, 0.7187]]}

=====

{"formula": "Al4NiRu3", "functional": "PBE", "state": "optimized geometry", "formation_energy_mev_per_atom": -711.6, "total_energy_ev_per_atom": -6.7839, "lattice_angstrom": [[3.0421, 0.0000, 0.0000], [0.0000, 4.1665, 0.0000], [0.0000, 0.0000, 8.3697]], "species": ["Al", "Al", "Al", "Al", "Ni", "Ru", "Ru", "Ru"], "fractional_positions": [[0.0000, 0.0000, 0.0000], [0.0000, 0.0000, 0.5000], [0.0000, 0.5000, 0.2491], [0.0000, 0.5000, 0.7509], [0.5000, 0.5000, 0.5000], [0.5000, 0.0000, 0.2605], [0.5000, 0.0000, 0.7395], [0.5000, 0.5000, 0.0000]]}

=====

{"formula": "Al2NiRu", "functional": "PBE", "state": "optimized geometry", "formation_energy_mev_per_atom": -737.2, "total_energy_ev_per_atom": -6.3727, "lattice_angstrom": [[4.1131, 0.0000, 0.0000], [0.0000, 4.1131, 0.0000], [0.0000, 0.0000, 3.0354]], "species": ["Al", "Al", "Ni", "Ru"], "fractional_positions": [[0.0000, 0.5000, 0.0000], [0.5000, 0.0000, 0.0000], [0.0000, 0.0000, 0.5000], [0.5000, 0.5000, 0.5000]]}